1.
LiDyCl3, relaxed, DFT PBE; ΔE_f (raw) = -1.80 eV per atom
1.0
3.199 1.847 6.517
-3.199 1.847 6.517
0.000 -3.693 6.517
Li Dy Cl
2 2 6
direct
0.157 0.157 0.157
0.843 0.843 0.843
0.338 0.338 0.338
0.662 0.662 0.662
0.072 0.431 0.763
0.237 0.928 0.569
0.431 0.763 0.072
0.569 0.237 0.928
0.763 0.072 0.431
0.928 0.569 0.237

---

2.
Ac8Si3IrI4, relaxed, DFT PBE; ΔE_f (raw) = -0.92 eV per atom
1.0
4.579 2.644 8.194
-4.579 2.644 8.194
0.000 -5.288 8.194
Ac Si Ir I
8 3 1 4
direct
0.234 0.234 0.234
0.243 0.725 0.725
0.275 0.275 0.757
0.275 0.757 0.275
0.725 0.243 0.725
0.725 0.725 0.243
0.757 0.275 0.275
0.766 0.766 0.766
0.000 0.000 0.500
0.000 0.500 0.000
0.500 0.000 0.000
0.500 0.500 0.500
0.000 0.000 0.000
0.000 0.500 0.500
0.500 0.000 0.500
0.500 0.500 0.000

---

3.
LuMgZrCo, relaxed, DFT PBE; E = -5.43 eV per atom
1.0
6.803 0.000 0.000
0.000 6.803 0.000
0.000 0.000 6.803
Lu Mg Zr Co
4 4 4 4
direct
0.000 0.000 0.000
0.000 0.500 0.500
0.500 0.000 0.500
0.500 0.500 0.000
0.250 0.250 0.750
0.250 0.750 0.250
0.750 0.250 0.250
0.750 0.750 0.750
0.000 0.000 0.500
0.000 0.500 0.000
0.500 0.000 0.000
0.500 0.500 0.500
0.250 0.250 0.250
0.250 0.750 0.750
0.750 0.250 0.750
0.750 0.750 0.250

---

4.
Zn2InBIr, relaxed, DFT PBE; E = -3.94 eV per atom
1.0
4.283 0.000 0.000
0.000 4.283 0.000
0.000 0.000 4.193
Zn In B Ir
2 1 1 1
direct
0.000 0.500 0.000
0.500 0.000 0.000
0.000 0.000 0.500
0.500 0.500 0.000
0.500 0.500 0.500